Compound: PmZrGa5Pd2
Source: Alexandria via LeMat-Bulk
Functional: GGA-PBE
Structure: relaxed

For the formation enthalpy at 0 K, the calculation gives -3.3 eV per formula unit. As for the total energy: -42.13 eV/cell.

It has space group P4/mmm (No. 123), with a = 4.806 Å, b = 4.806 Å, c = 7.688 Å, α = 90.00°, β = 90.00° and γ = 90.00°. Symmetry generates all atoms from Pm at (0.000, 0.000, 0.000), Zr at (0.000, 0.000, 0.500), Ga at (0.000, 0.500, 0.273), Ga at (0.500, 0.500, 0.000) and Pd at (0.500, 0.500, 0.330).